[1]
Density functional theory data (GGA-PBE) for a geometry-optimized Na4Dy3GeS8 structure.

Cell: 7.8733 8.0684 7.8726 Å, 119.21 120.00 90.00°
Fractional positions:
S 0.2471 0.2793 0.0131
S 0.7659 0.2792 0.5319
S 0.7529 0.7207 0.9869
S 0.7429 0.7286 0.4858
S 0.2340 0.7207 0.9869
S 0.7660 0.2793 0.0131
S 0.2571 0.2714 0.5142
S 0.2341 0.7208 0.4681
Dy 0.5000 0.5000 0.5000
Dy 0.5000 0.5000 0.0000
Dy 0.0000 0.5000 0.5000
Na 0.0000 0.0000 0.0000
Na 0.5000 0.0000 0.0000
Na 0.0000 0.0000 0.5000
Na 0.5000 0.0000 0.5000
Ge 0.0000 0.5000 0.0000

ΔE_f (raw) ... -1.510 eV per atom
Calculated total energy ... -5.05 eV per atom


[2]
Density functional theory data (GGA-PBE) for a geometry-optimized Na3Dy3GeSe8 structure.

Cell: 8.1292 8.1331 8.5166 Å, 118.58 90.00 119.98°
Fractional positions:
Se 0.2263 0.4526 0.7161
Se 0.2265 0.9901 0.7163
Se 0.7637 0.9901 0.7163
Se 0.7737 0.5474 0.2839
Se 0.2568 0.5136 0.2708
Se 0.2363 0.0099 0.2837
Se 0.7735 0.0099 0.2837
Se 0.7432 0.4864 0.7292
Ge 0.0000 0.0000 0.5000
Dy 0.5000 0.5000 0.5000
Dy 0.0000 0.5000 0.5000
Dy 0.5000 0.0000 0.5000
Na 0.5000 0.5000 0.0000
Na 0.0000 0.5000 0.0000
Na 0.0000 0.0000 0.0000

ΔE_f (raw) ... -1.339 eV per atom
Calculated total energy ... -4.69 eV per atom


[3]
Density functional theory data (GGA-PBE) for a geometry-optimized Na2DyGeSe4 structure.

Cell: 8.2312 8.2312 8.3519 Å, 120.49 120.49 90.33°
Fractional positions:
Ge 0.5000 0.5000 0.5000
Ge 0.0000 0.0000 0.0000
Se 0.2455 0.2543 0.0238
Se 0.7543 0.7456 0.5238
Se 0.7544 0.7457 0.9762
Se 0.2457 0.2545 0.4762
Se 0.2298 0.7557 0.9928
Se 0.2557 0.7298 0.4928
Se 0.7702 0.2443 0.0072
Se 0.7443 0.2702 0.5072
Na 0.5000 0.0000 0.0000
Na 0.5000 0.0000 0.5000
Na 0.0000 0.0000 0.5000
Na 0.5000 0.5000 0.0000
Dy 0.0000 0.5000 0.0000
Dy 0.0000 0.5000 0.5000

ΔE_f (raw) ... -1.088 eV per atom
Calculated total energy ... -4.31 eV per atom


[4]
Density functional theory data (GGA-PBE) for a geometry-optimized Na4Dy3GeSe8 structure.

Cell: 8.2094 8.4478 8.2093 Å, 119.10 120.00 90.00°
Fractional positions:
Na 0.0000 0.0000 0.5000
Na 0.5000 0.0000 0.0000
Na 0.5000 0.0000 0.5000
Na 0.0000 0.0000 0.0000
Se 0.2355 0.7234 0.9881
Se 0.2473 0.2766 0.0119
Se 0.7438 0.7312 0.4876
Se 0.2562 0.2688 0.5124
Se 0.7644 0.2765 0.5288
Se 0.7527 0.7234 0.9881
Se 0.7645 0.2766 0.0119
Se 0.2356 0.7235 0.4712
Dy 0.0000 0.5000 0.5000
Dy 0.5000 0.5000 0.0000
Dy 0.5000 0.5000 0.5000
Ge 0.0000 0.5000 0.0000

ΔE_f (raw) ... -1.397 eV per atom
Calculated total energy ... -4.62 eV per atom


[5]
Density functional theory data (GGA-PBE) for a geometry-optimized Na4Dy3GeTe8 structure.

Cell: 8.7659 9.1104 8.7666 Å, 118.78 120.00 90.00°
Fractional positions:
Te 0.7621 0.2737 0.5241
Te 0.2551 0.2657 0.5103
Te 0.2494 0.2737 0.0114
Te 0.7621 0.2737 0.0114
Te 0.7506 0.7263 0.9886
Te 0.7449 0.7343 0.4897
Te 0.2379 0.7263 0.4759
Te 0.2379 0.7263 0.9886
Na 0.0000 0.0000 0.0000
Na 0.5000 0.0000 0.0000
Na 0.5000 0.0000 0.5000
Na 0.0000 0.0000 0.5000
Dy 0.0000 0.5000 0.5000
Dy 0.5000 0.5000 0.5000
Dy 0.5000 0.5000 0.0000
Ge 0.0000 0.5000 0.0000

ΔE_f (raw) ... -1.054 eV per atom
Calculated total energy ... -4.11 eV per atom


[6]
Density functional theory data (GGA-PBE) for a geometry-optimized Na2DyGeTe4 structure.

Cell: 4.1798 7.6979 7.9868 Å, 107.09 90.00 90.00°
Fractional positions:
Te 0.0000 0.7501 0.2288
Te 0.0000 0.2499 0.7712
Te 0.5000 0.2311 0.2207
Te 0.5000 0.7689 0.7793
Ge 0.0000 0.0000 0.0000
Na 0.5000 0.0000 0.5000
Na 0.0000 0.5000 0.5000
Dy 0.5000 0.5000 0.0000

ΔE_f (raw) ... -0.801 eV per atom
Calculated total energy ... -3.85 eV per atom


[7]
Density functional theory data (GGA-PBE) for a geometry-optimized NaDyZnGe structure.

Cell: 4.9703 4.9703 4.9703 Å, 60.00 60.00 60.00°
Fractional positions:
Na 0.5000 0.5000 0.5000
Ge 0.2500 0.2500 0.2500
Zn 0.7500 0.7500 0.7500
Dy 0.0000 0.0000 0.0000

Calculated total energy ... -3.24 eV per atom
Energy of formation from the pure elements ... -0.29 eV per atom


[8]
Density functional theory data (GGA-PBE) for a geometry-optimized NaDyZn2Ge2 structure.

Cell: 4.2722 4.2722 8.0292 Å, 90.00 90.00 120.00°
Fractional positions:
Dy 0.0000 0.0000 0.5000
Ge 0.3333 0.6667 0.2747
Ge 0.6667 0.3333 0.7253
Zn 0.6667 0.3333 0.2566
Zn 0.3333 0.6667 0.7434
Na 0.0000 0.0000 0.0000

Calculated total energy ... -3.34 eV per atom
Energy of formation from the pure elements ... -0.39 eV per atom


What is the calculated total energy in the fifth record?
-4.11 eV per atom


What did the fifth record say?
Density functional theory data (GGA-PBE) for a geometry-optimized Na4Dy3GeTe8 structure.

Cell: 8.7659 9.1104 8.7666 Å, 118.78 120.00 90.00°
Fractional positions:
Te 0.7621 0.2737 0.5241
Te 0.2551 0.2657 0.5103
Te 0.2494 0.2737 0.0114
Te 0.7621 0.2737 0.0114
Te 0.7506 0.7263 0.9886
Te 0.7449 0.7343 0.4897
Te 0.2379 0.7263 0.4759
Te 0.2379 0.7263 0.9886
Na 0.0000 0.0000 0.0000
Na 0.5000 0.0000 0.0000
Na 0.5000 0.0000 0.5000
Na 0.0000 0.0000 0.5000
Dy 0.0000 0.5000 0.5000
Dy 0.5000 0.5000 0.5000
Dy 0.5000 0.5000 0.0000
Ge 0.0000 0.5000 0.0000

ΔE_f (raw) ... -1.054 eV per atom
Calculated total energy ... -4.11 eV per atom


The lowest calculated total energy belongs to which entry?
Na4Dy3GeS8